Here is Tm3CuSn after structural relaxation from Alexandria. Energies are from PBE-GGA.

Output
**SG**: Pnma
**E_form**: -0.202 eV/atom
**Fermi-level density of states**: 3.79 states/eV/f.u.

a = 5.8454 Å, b = 8.1823 Å, c = 10.3600 Å
α = 90.00°, β = 90.00°, γ = 90.00°
Sites, in units of the cell vectors:
Tm: 0.9989 0.1407 0.0979
Tm: 0.5011 0.6407 0.5979
Tm: 0.5011 0.6407 0.9021
Tm: 0.0011 0.8593 0.5979
Tm: 0.0011 0.8593 0.9021
Tm: 0.4989 0.3593 0.4021
Tm: 0.4989 0.3593 0.0979
Tm: 0.9989 0.1407 0.4021
Tm: 0.2836 0.2148 0.7500
Tm: 0.2164 0.7148 0.2500
Tm: 0.7164 0.7852 0.2500
Tm: 0.7836 0.2852 0.7500
Cu: 0.0825 0.5782 0.7500
Cu: 0.4175 0.0782 0.2500
Cu: 0.9175 0.4218 0.2500
Cu: 0.5825 0.9218 0.7500
Sn: 0.0000 0.5000 0.0000
Sn: 0.5000 0.0000 0.5000
Sn: 0.5000 0.0000 0.0000
Sn: 0.0000 0.5000 0.5000